Record 1
First-principles (PBE-GGA) data for RbTlPbF6 after structural relaxation, as listed in Alexandria via LeMat-Bulk.

Results
SG: P312 (149)
ρ: 5.154 Mg/m³
Raw formation energy: -20.321 eV/f.u.
V: 196.88 Å³ per cell
Crystal system: trigonal

```
RbTlPbF6
1.0
-2.370 0.002 -5.974
2.538 -3.860 -4.467
-3.553 -3.963 1.408
Rb Tl Pb F
1 1 1 6
Direct
0.000 0.000 0.000
0.333 0.333 0.500
0.667 0.667 0.500
0.029 0.358 0.288
0.358 0.029 0.712
0.614 0.358 0.712
0.028 0.614 0.712
0.358 0.614 0.288
0.614 0.028 0.288
```


Record 2
First-principles (PBE-GGA) data for Rb4TlPb3F12 after structural relaxation, as listed in Alexandria via LeMat-Bulk.

Results
SG: Im-3m (229)
ρ: 5.141 Mg/m³
Raw formation energy: -48.133 eV/f.u.
V: 450.81 Å³ per cell
Crystal system: cubic

```
Rb4TlPb3F12
1.0
8.366 0.000 0.000
-2.789 7.888 0.000
-2.789 -3.944 6.831
Rb Tl Pb F
4 1 3 12
Direct
0.500 0.500 0.500
0.000 0.000 0.500
0.500 0.000 0.000
0.000 0.500 0.000
0.000 0.000 0.000
0.500 0.000 0.500
0.500 0.500 0.000
0.000 0.500 0.500
0.250 0.500 0.750
0.748 0.000 0.748
0.252 0.000 0.252
0.750 0.500 0.250
0.748 0.748 0.000
0.252 0.252 0.000
0.750 0.250 0.500
0.250 0.750 0.500
0.500 0.250 0.750
0.000 0.748 0.748
0.500 0.750 0.250
0.000 0.252 0.252
```


Record 3
First-principles (PBE-GGA) data for Rb2TmPbF6 after structural relaxation, as listed in Alexandria via LeMat-Bulk.

Results
SG: Pmmn (59)
ρ: 4.970 Mg/m³
Raw formation energy: -29.769 eV/f.u.
V: 441.74 Å³ per cell
Crystal system: orthorhombic

```
Rb2TmPbF6
1.0
-0.014 5.283 3.433
-7.625 0.848 -1.337
-1.830 -4.807 7.389
Rb Tm Pb F
4 2 2 12
Direct
0.500 0.820 0.236
0.000 0.180 0.736
0.500 0.820 0.764
0.000 0.180 0.264
0.500 0.221 0.500
0.000 0.779 0.000
0.000 0.691 0.500
0.500 0.309 0.000
0.500 0.205 0.260
0.500 0.205 0.740
0.000 0.795 0.240
0.000 0.795 0.760
0.267 0.018 0.500
0.733 0.018 0.500
0.234 0.389 0.500
0.766 0.389 0.500
0.734 0.611 0.000
0.266 0.611 0.000
0.233 0.982 0.000
0.767 0.982 0.000
```


Record 4
First-principles (PBE-GGA) data for RbTmPbF6 after structural relaxation, as listed in Alexandria via LeMat-Bulk.

Results
SG: Imma (74)
ρ: 5.218 Mg/m³
Raw formation energy: -29.044 eV/f.u.
V: 366.36 Å³ per cell
Crystal system: orthorhombic

```
RbTmPbF6
1.0
8.026 0.000 0.000
0.000 8.114 0.000
-4.013 -4.057 5.625
Rb Tm Pb F
2 2 2 12
Direct
0.854 0.604 0.708
0.146 0.396 0.292
0.500 0.500 0.000
0.500 0.000 0.000
0.500 0.000 0.500
0.000 0.000 0.500
0.563 0.813 0.125
0.869 0.119 0.737
0.820 0.159 0.266
0.446 0.607 0.266
0.446 0.159 0.266
0.820 0.607 0.266
0.437 0.187 0.875
0.131 0.881 0.263
0.180 0.841 0.734
0.554 0.393 0.734
0.554 0.841 0.734
0.180 0.393 0.734
```